# 1
{"formula": "Na3ZrIn", "functional": "SCAN", "state": "single point on PBEsol structure", "lattice": [[5.533, 0.000, 0.000], [0.000, 5.533, 0.000], [0.000, 0.000, 5.533]], "species": ["Na", "Na", "Na", "Zr", "In"], "frac_coords": [[0.000, 0.000, 0.500], [0.000, 0.500, 0.000], [0.500, 0.000, 0.000], [0.500, 0.500, 0.500], [0.000, 0.000, 0.000]], "e_form_mev_per_atom": 863}

# 2
{"formula": "KHg2Au2", "functional": "SCAN", "state": "single point on PBEsol structure", "lattice": [[-2.506, 2.506, 5.112], [2.506, -2.506, 5.112], [2.506, 2.506, -5.112]], "species": ["K", "Hg", "Hg", "Au", "Au"], "frac_coords": [[0.000, 0.000, 0.000], [0.364, 0.364, 0.000], [0.636, 0.636, 0.000], [0.250, 0.750, 0.500], [0.750, 0.250, 0.500]], "e_form_mev_per_atom": -196}

# 3
{"formula": "Sr2MnCl", "functional": "SCAN", "state": "single point on PBEsol structure", "lattice": [[-2.183, 2.183, 6.790], [2.183, -2.183, 6.790], [2.183, 2.183, -6.790]], "species": ["Sr", "Sr", "Mn", "Cl"], "frac_coords": [[0.000, 0.000, 0.000], [0.750, 0.250, 0.500], [0.250, 0.750, 0.500], [0.500, 0.500, 0.000]], "e_form_raw_ev_per_fu": -1.9}

# 4
{"formula": "Ag2PRu", "functional": "SCAN", "state": "single point on PBEsol structure", "lattice": [[2.712, 0.000, 0.000], [0.000, 4.337, 0.000], [0.000, 0.000, 5.136]], "species": ["Ag", "Ag", "P", "Ru"], "frac_coords": [[0.000, 0.000, 0.249], [0.000, 0.000, 0.751], [0.500, 0.500, 0.500], [0.500, 0.500, 0.000]], "e_form_mev_per_atom": 534}

# 5
{"formula": "Fe2P", "functional": "SCAN", "state": "single point on PBEsol structure", "lattice": [[-3.207, 4.970, 2.983], [3.207, -4.970, 2.983], [3.207, 4.970, -2.983]], "species": ["Fe", "Fe", "Fe", "Fe", "Fe", "Fe", "Fe", "Fe", "Fe", "Fe", "Fe", "Fe", "P", "P", "P", "P", "P", "P"], "frac_coords": [[0.000, 0.000, 0.000], [0.144, 0.346, 0.798], [0.214, 0.922, 0.292], [0.313, 0.028, 0.714], [0.313, 0.599, 0.286], [0.547, 0.346, 0.202], [0.578, 0.491, 0.655], [0.578, 0.923, 0.087], [0.630, 0.922, 0.708], [0.836, 0.491, 0.913], [0.836, 0.923, 0.345], [0.951, 0.451, 0.500], [0.242, 0.346, 0.437], [0.242, 0.805, 0.896], [0.513, 0.513, 0.000], [0.599, 0.099, 0.500], [0.909, 0.346, 0.104], [0.909, 0.805, 0.563]], "e_form_mev_per_atom": -399}

# 6
{"formula": "Mg2InAs", "functional": "SCAN", "state": "single point on PBEsol structure", "lattice": [[-2.227, 2.227, 4.202], [2.227, -2.227, 4.202], [2.227, 2.227, -4.202]], "species": ["Mg", "Mg", "In", "As"], "frac_coords": [[0.250, 0.750, 0.500], [0.750, 0.250, 0.500], [0.000, 0.000, 0.000], [0.500, 0.500, 0.000]], "e_form_mev_per_atom": -188}

# 7
{"formula": "TiPb3Cl", "functional": "SCAN", "state": "single point on PBEsol structure", "lattice": [[5.350, 0.000, 0.000], [0.000, 5.350, 0.000], [0.000, 0.000, 5.350]], "species": ["Ti", "Pb", "Pb", "Pb", "Cl"], "frac_coords": [[0.000, 0.000, 0.000], [0.000, 0.500, 0.500], [0.500, 0.000, 0.500], [0.500, 0.500, 0.000], [0.500, 0.500, 0.500]], "e_form_raw_ev_per_fu": 2.6}

# 8
{"formula": "Ta2CuAgCl", "functional": "SCAN", "state": "single point on PBEsol structure", "lattice": [[4.425, 0.000, 0.000], [0.000, 4.425, 0.000], [0.000, 0.000, 4.678]], "species": ["Ta", "Ta", "Cu", "Ag", "Cl"], "frac_coords": [[0.000, 0.500, 0.000], [0.500, 0.000, 0.000], [0.000, 0.000, 0.500], [0.500, 0.500, 0.500], [0.500, 0.500, 0.000]], "e_form_raw_ev_per_fu": 6.6}

# 9
{"formula": "LiCa2Mg", "functional": "SCAN", "state": "single point on PBEsol structure", "lattice": [[-2.452, 2.452, 5.067], [2.452, -2.452, 5.067], [2.452, 2.452, -5.067]], "species": ["Li", "Ca", "Ca", "Mg"], "frac_coords": [[0.000, 0.000, 0.000], [0.250, 0.750, 0.500], [0.500, 0.500, 0.000], [0.750, 0.250, 0.500]], "e_form_mev_per_atom": 41}

# 10
{"formula": "GaCuN2Cl", "functional": "SCAN", "state": "single point on PBEsol structure", "lattice": [[3.666, 0.000, 0.000], [0.000, 3.666, 0.000], [0.000, 0.000, 5.669]], "species": ["Ga", "Cu", "N", "N", "Cl"], "frac_coords": [[0.000, 0.000, 0.000], [0.500, 0.500, 0.500], [0.000, 0.500, 0.000], [0.500, 0.000, 0.000], [0.000, 0.000, 0.500]], "e_form_raw_ev_per_fu": 5.3}

# 11
{"formula": "HfSn2F", "functional": "SCAN", "state": "single point on PBEsol structure", "lattice": [[0.000, 3.441, 3.441], [3.441, 0.000, 3.441], [3.441, 3.441, 0.000]], "species": ["Hf", "Sn", "Sn", "F"], "frac_coords": [[0.000, 0.000, 0.000], [0.250, 0.250, 0.250], [0.750, 0.750, 0.750], [0.500, 0.500, 0.500]], "e_form_raw_ev_per_fu": -1.6}

# 12
{"formula": "Fe2CoNi", "functional": "SCAN", "state": "single point on PBEsol structure", "lattice": [[3.544, 0.000, 0.000], [0.000, 3.544, 0.000], [0.000, 0.000, 3.424]], "species": ["Fe", "Fe", "Co", "Ni"], "frac_coords": [[0.000, 0.500, 0.000], [0.500, 0.000, 0.000], [0.000, 0.000, 0.500], [0.500, 0.500, 0.500]], "e_form_mev_per_atom": -79}

Number 1: Fermi-level density of states 1.573 states/eV per atom. Number 2: Fermi-level density of states 0.296 states/eV per atom. Number 3: Fermi-level density of states 0.839 states/eV per atom. Number 4: Fermi-level density of states 0.605 states/eV per atom. Number 5: Fermi-level density of states 0.422 states/eV per atom. Number 6: Fermi-level density of states 0.288 states/eV per atom. Number 7: Fermi-level density of states 0.513 states/eV per atom. Number 8: Fermi-level density of states 0.621 states/eV per atom. Number 9: Fermi-level density of states 0.618 states/eV per atom. Number 10: Fermi-level density of states 0.417 states/eV per atom. Number 11: Fermi-level density of states 0.677 states/eV per atom. Number 12: Fermi-level density of states 0.931 states/eV per atom.